A:
Material: YSeF2
Method: DFT, PBE
State: relaxed

Cell: 4.4381 4.4381 4.4381 Å, 60.00 60.00 60.00°
Closest atoms and distances in Å follow each position.
Element x y z (fractional)
Y 0.0000 0.0000 0.0000  8 F 2.72
Se 0.5000 0.5000 0.5000  8 F 2.72
F 0.2500 0.2500 0.2500  4 Se 2.72, 4 Y 2.72
F 0.7500 0.7500 0.7500  4 Se 2.72, 4 Y 2.72

Properties
Volume   15.45 Å³/atom
Fermi-level density of states   4.15 states/eV/cell
SG   No. 225

B:
Material: YSeF2
Method: DFT, PBE
State: relaxed

Cell: 7.3202 7.3202 7.3202 Å, 155.55 148.66 40.15°
Closest atoms and distances in Å follow each position.
Element x y z (fractional)
Y 0.0000 0.0000 0.0000  2 F 2.17
Se 0.1803 0.6803 0.5000  2 Y 2.92, 2 Se 3.10, 2 F 3.17
F 0.5003 0.5003 0.0000  2 F 2.49, 4 Y 2.51
F 0.8900 0.3900 0.5000  2 Y 2.17

Properties
Volume   21.07 Å³/atom
Fermi-level density of states   0.74 states/eV/cell
SG   No. 44

C:
Material: YSeF2
Method: DFT, PBE
State: relaxed

Cell: 9.3767 9.3767 9.3767 Å, 21.05 21.05 21.05°
Closest atoms and distances in Å follow each position.
Element x y z (fractional)
Y 0.0000 0.0000 0.0000  2 F 2.05
Se 0.5000 0.5000 0.5000  6 F 3.21, 6 Se 3.42
F 0.0747 0.0747 0.0747  1 Y 2.05
F 0.9253 0.9253 0.9253  1 Y 2.05

Properties
Volume   23.28 Å³/atom
Fermi-level density of states   1.44 states/eV/cell
SG   No. 166

Quick one: least stable of them? C

A:
Material: YSeF2
Method: DFT, PBE
State: relaxed

Cell: 8.0489 8.0489 8.0489 Å, 146.35 146.35 48.33°
Closest atoms and distances in Å follow each position.
Element x y z (fractional)
Y 0.0000 0.0000 0.0000  4 F 2.20
Y 0.7500 0.2500 0.5000  4 F 2.20
Se 0.2500 0.7500 0.5000  4 F 2.94
Se 0.5000 0.5000 0.0000  4 F 2.94
F 0.3750 0.2013 0.3263  2 Y 2.20, 2 F 2.44
F 0.7987 0.1250 0.1737  2 Y 2.20, 2 F 2.44
F 0.8750 0.0487 0.6737  2 Y 2.20, 2 F 2.44
F 0.9513 0.6250 0.8263  2 Y 2.20, 2 F 2.44

Properties
Volume   19.93 Å³/atom
Fermi-level density of states   0.80 states/eV/cell
SG   No. 122

B:
Material: YSeF2
Method: DFT, PBE
State: relaxed

Cell: 6.0445 6.0445 6.0445 Å, 37.09 37.09 37.09°
Closest atoms and distances in Å follow each position.
Element x y z (fractional)
Y 0.0000 0.0000 0.0000  6 F 2.28
Se 0.5000 0.5000 0.5000  8 F 3.18-3.35
F 0.3014 0.3014 0.3014  3 Y 2.28, 3 F 2.47
F 0.6986 0.6986 0.6986  3 Y 2.28, 3 F 2.47

Properties
Volume   17.99 Å³/atom
Fermi-level density of states   2.35 states/eV/cell
SG   No. 166

Quick one: least stable of them? A

A:
Material: ZnSe3F
Method: DFT, PBE
State: relaxed

Cell: 4.6684 4.6684 4.6684 Å, 90.00 90.00 90.00°
Closest atoms and distances in Å follow each position.
Element x y z (fractional)
Zn 0.0000 0.0000 0.0000  12 Se 3.30
Se 0.0000 0.5000 0.5000  2 F 2.33
Se 0.5000 0.0000 0.5000  2 F 2.33
Se 0.5000 0.5000 0.0000  2 F 2.33
F 0.5000 0.5000 0.5000  6 Se 2.33

Properties
Volume   20.35 Å³/atom
Fermi-level density of states   2.96 states/eV/cell
SG   No. 221

B:
Material: ZnSe3F
Method: DFT, PBE
State: relaxed

Cell: 4.8649 4.8649 4.8649 Å, 90.00 90.00 90.00°
Closest atoms and distances in Å follow each position.
Element x y z (fractional)
Zn 0.0000 0.0000 0.0000  6 Se 2.43
Se 0.0000 0.0000 0.5000  2 Zn 2.43
Se 0.0000 0.5000 0.0000  2 Zn 2.43
Se 0.5000 0.0000 0.0000  2 Zn 2.43
F 0.5000 0.5000 0.5000  12 Se 3.44

Properties
Volume   23.03 Å³/atom
Fermi-level density of states   4.56 states/eV/cell
SG   No. 221

Quick one: least stable of them? A

A:
Material: ZnSe2F
Method: DFT, PBE
State: relaxed

Cell: 9.1085 9.1085 9.1085 Å, 18.62 18.62 18.62°
Closest atoms and distances in Å follow each position.
Element x y z (fractional)
Zn 0.0000 0.0000 0.0000  2 Se 2.44
Se 0.0908 0.0908 0.0908  1 Zn 2.44, 3 F 2.65
Se 0.9092 0.9092 0.9092  1 Zn 2.44, 3 F 2.65
F 0.5000 0.5000 0.5000  6 Se 2.65, 6 F 2.95

Properties
Volume   16.83 Å³/atom
Fermi-level density of states   1.11 states/eV/cell
SG   No. 166

B:
Material: ZnSe2F
Method: DFT, PBE
State: relaxed

Cell: 4.4866 4.4866 4.4866 Å, 60.00 60.00 60.00°
Closest atoms and distances in Å follow each position.
Element x y z (fractional)
Zn 0.0000 0.0000 0.0000  8 Se 2.75
Se 0.2500 0.2500 0.2500  4 F 2.75, 4 Zn 2.75
Se 0.7500 0.7500 0.7500  4 F 2.75, 4 Zn 2.75
F 0.5000 0.5000 0.5000  8 Se 2.75

Properties
Volume   15.97 Å³/atom
Fermi-level density of states   2.16 states/eV/cell
SG   No. 225

Quick one: least stable of them? A

A:
Material: ZnSe2F
Method: DFT, PBE
State: relaxed

Cell: 9.5814 9.5814 9.5814 Å, 154.52 154.52 36.35°
Closest atoms and distances in Å follow each position.
Element x y z (fractional)
Zn 0.0000 0.0000 0.0000  4 Se 2.60
Zn 0.7500 0.2500 0.5000  4 Se 2.60
Se 0.0324 0.6250 0.9074  2 Se 2.50, 2 Zn 2.60
Se 0.3750 0.2824 0.4074  2 Se 2.50, 2 Zn 2.60
Se 0.7176 0.1250 0.0926  2 Se 2.50, 2 Zn 2.60
Se 0.8750 0.9676 0.5926  2 Se 2.50, 2 Zn 2.60
F 0.2500 0.7500 0.5000  4 Se 2.90, 4 Zn 2.99
F 0.5000 0.5000 0.0000  4 Se 2.90, 4 Zn 2.99

Properties
Volume   20.32 Å³/atom
Fermi-level density of states   1.92 states/eV/cell
SG   No. 122

B:
Material: ZnSe2F
Method: DFT, PBE
State: relaxed

Cell: 7.1418 7.1418 7.1418 Å, 32.17 32.17 32.17°
Closest atoms and distances in Å follow each position.
Element x y z (fractional)
Zn 0.0000 0.0000 0.0000  6 Se 2.61
Se 0.3951 0.3951 0.3951  1 F 2.13
Se 0.6049 0.6049 0.6049  1 F 2.13
F 0.5000 0.5000 0.5000  2 Se 2.13

Properties
Volume   22.95 Å³/atom
Fermi-level density of states   5.62 states/eV/cell
SG   No. 166

Quick one: least stable of them? A

A:
Material: ZnSeF2
Method: DFT, PBE
State: relaxed

Cell: 5.6299 5.6299 5.6299 Å, 116.93 116.93 95.41°
Closest atoms and distances in Å follow each position.
Element x y z (fractional)
Zn 0.0000 0.0000 0.0000  4 F 1.89
Zn 0.7500 0.2500 0.5000  4 F 1.89
Se 0.2500 0.7500 0.5000  4 F 2.83
Se 0.5000 0.5000 0.0000  4 F 2.83
F 0.3750 0.2469 0.3719  2 Zn 1.89
F 0.7531 0.1250 0.1281  2 Zn 1.89
F 0.8750 0.0031 0.6281  2 Zn 1.89
F 0.9969 0.6250 0.8719  2 Zn 1.89

Properties
Volume   16.43 Å³/atom
Fermi-level density of states   0.32 states/eV/cell
SG   No. 122

B:
Material: ZnSeF2
Method: DFT, PBE
State: relaxed

Cell: 8.4735 8.4735 8.4735 Å, 19.94 19.94 19.94°
Closest atoms and distances in Å follow each position.
Element x y z (fractional)
Zn 0.0000 0.0000 0.0000  6 F 2.02
Se 0.5000 0.5000 0.5000  6 Se 2.93, 2 F 3.05
F 0.3774 0.3774 0.3774  3 Zn 2.02
F 0.6226 0.6226 0.6226  3 Zn 2.02

Properties
Volume   15.48 Å³/atom
Fermi-level density of states   1.35 states/eV/cell
SG   No. 166

Quick one: least stable of them? A

A:
Material: ZrSe2F
Method: DFT, PBE
State: relaxed

Cell: 7.8096 7.8096 7.8096 Å, 28.40 28.40 28.40°
Closest atoms and distances in Å follow each position.
Element x y z (fractional)
Zr 0.0000 0.0000 0.0000  6 Se 2.70
Se 0.4025 0.4025 0.4025  1 F 2.19
Se 0.5975 0.5975 0.5975  1 F 2.19
F 0.5000 0.5000 0.5000  2 Se 2.19

Properties
Volume   23.81 Å³/atom
Fermi-level density of states   1.81 states/eV/cell
SG   No. 166

B:
Material: ZrSe2F
Method: DFT, PBE
State: relaxed

Cell: 4.6526 4.6526 4.6526 Å, 60.00 60.00 60.00°
Closest atoms and distances in Å follow each position.
Element x y z (fractional)
Zr 0.0000 0.0000 0.0000  8 Se 2.85
Se 0.2500 0.2500 0.2500  4 F 2.85, 4 Zr 2.85
Se 0.7500 0.7500 0.7500  4 Zr 2.85, 4 F 2.85
F 0.5000 0.5000 0.5000  8 Se 2.85

Properties
Volume   17.80 Å³/atom
Fermi-level density of states   1.60 states/eV/cell
SG   No. 225

C:
Material: ZrSe2F
Method: DFT, PBE
State: relaxed

Cell: 7.3630 7.3630 7.3630 Å, 132.21 132.21 69.90°
Closest atoms and distances in Å follow each position.
Element x y z (fractional)
Zr 0.0000 0.0000 0.0000  4 Se 2.56
Zr 0.7500 0.2500 0.5000  4 Se 2.56
Se 0.1157 0.6250 0.9907  2 Zr 2.56, 2 F 2.63
Se 0.3750 0.3657 0.4907  2 Zr 2.56, 2 F 2.63
Se 0.6343 0.1250 0.0093  2 Zr 2.56, 2 F 2.63
Se 0.8750 0.8843 0.5093  2 Zr 2.56, 2 F 2.63
F 0.2500 0.7500 0.5000  4 Se 2.63
F 0.5000 0.5000 0.0000  4 Se 2.63

Properties
Volume   26.85 Å³/atom
Fermi-level density of states   7.54 states/eV/cell
SG   No. 122

Quick one: least stable of them? C

A:
Material: ZrSeF2
Method: DFT, PBE
State: relaxed

Cell: 7.9094 7.9094 7.9094 Å, 148.91 148.91 44.55°
Closest atoms and distances in Å follow each position.
Element x y z (fractional)
Zr 0.0000 0.0000 0.0000  4 F 2.14
Zr 0.7500 0.2500 0.5000  4 F 2.14
Se 0.2500 0.7500 0.5000  4 F 2.77, 4 Zr 3.00
Se 0.5000 0.5000 0.0000  4 F 2.77, 4 Zr 3.00
F 0.3750 0.2022 0.3272  2 Zr 2.14, 2 F 2.22
F 0.7978 0.1250 0.1728  2 Zr 2.14, 2 F 2.22
F 0.8750 0.0478 0.6728  2 Zr 2.14, 2 F 2.22
F 0.9522 0.6250 0.8272  2 Zr 2.14, 2 F 2.22

Properties
Volume   16.45 Å³/atom
Fermi-level density of states   5.87 states/eV/cell
SG   No. 122

B:
Material: ZrSeF2
Method: DFT, PBE
State: relaxed

Cell: 4.2827 4.2827 4.2827 Å, 60.00 60.00 60.00°
Closest atoms and distances in Å follow each position.
Element x y z (fractional)
Zr 0.0000 0.0000 0.0000  8 F 2.62
Se 0.5000 0.5000 0.5000  8 F 2.62
F 0.2500 0.2500 0.2500  4 Zr 2.62, 4 Se 2.62
F 0.7500 0.7500 0.7500  4 Zr 2.62, 4 Se 2.62

Properties
Volume   13.89 Å³/atom
Fermi-level density of states   0.04 states/eV/cell
SG   No. 225

C:
Material: ZrSeF2
Method: DFT, PBE
State: relaxed

Cell: 10.6117 10.6117 10.6117 Å, 15.95 15.95 15.95°
Closest atoms and distances in Å follow each position.
Element x y z (fractional)
Zr 0.0000 0.0000 0.0000  6 F 2.27
Se 0.5000 0.5000 0.5000  6 Se 2.94
F 0.3810 0.3810 0.3810  3 Zr 2.27
F 0.6190 0.6190 0.6190  3 Zr 2.27

Properties
Volume   19.67 Å³/atom
Fermi-level density of states   1.84 states/eV/cell
SG   No. 166

Quick one: least stable of them? B